This record from the Alexandria database describes Ho6CoTe2 at its PBEsol-relaxed geometry. The functional is meta-GGA SCAN.

## Properties
symmetry: No. 189
uncorrected formation energy: -0.697 eV per atom

a = 8.1734 Å, b = 8.1734 Å, c = 3.8306 Å
α = 90.00°, β = 90.00°, γ = 120.00°
Element x y z (fractional)
Ho1 0.0000 0.3989 0.0000
Ho2 0.0000 0.7637 0.5000
Ho3 0.2363 0.2363 0.5000
Ho4 0.3989 0.0000 0.0000
Ho5 0.6011 0.6011 0.0000
Ho6 0.7637 0.0000 0.5000
Co1 0.0000 0.0000 0.0000
Te1 0.3333 0.6667 0.5000
Te2 0.6667 0.3333 0.5000

***

This record from the Alexandria database describes CoI2 at its PBEsol-relaxed geometry. The functional is meta-GGA SCAN.

## Properties
symmetry: No. 164
uncorrected formation energy: -0.086 eV per atom

a = 3.7967 Å, b = 3.7967 Å, c = 6.2333 Å
α = 90.00°, β = 90.00°, γ = 120.00°
Element x y z (fractional)
Co1 0.0000 0.0000 0.0000
I1 0.3333 0.6667 0.2269
I2 0.6667 0.3333 0.7731

***

This record from the Alexandria database describes In3CoI at its PBEsol-relaxed geometry. The functional is meta-GGA SCAN.

## Properties
symmetry: No. 221
uncorrected formation energy: -0.036 eV per atom

a = 5.0090 Å, b = 5.0090 Å, c = 5.0090 Å
α = 90.00°, β = 90.00°, γ = 90.00°
Element x y z (fractional)
In1 0.0000 0.0000 0.5000
In2 0.0000 0.5000 0.0000
In3 0.5000 0.0000 0.0000
Co1 0.0000 0.0000 0.0000
I1 0.5000 0.5000 0.5000

***

This record from the Alexandria database describes InCoSeI2 at its PBEsol-relaxed geometry. The functional is meta-GGA SCAN.

## Properties
symmetry: No. 123
uncorrected formation energy: 0.618 eV per atom

a = 5.7774 Å, b = 5.7774 Å, c = 5.1080 Å
α = 90.00°, β = 90.00°, γ = 90.00°
Element x y z (fractional)
In1 0.0000 0.0000 0.0000
Co1 0.5000 0.5000 0.5000
Se1 0.0000 0.0000 0.5000
I1 0.0000 0.5000 0.0000
I2 0.5000 0.0000 0.0000

***

no.,mass density (g/cm³),total DFT energy (no corrections) (eV per atom)
1,9.8,-43.556
2,6.7,-30.348
3,7.0,-30.877
4,4.9,-28.232